Pr2NdY4Ho2, optimized geometry, DFT PBE; DOS at the Fermi energy = 1.614 states/eV per atom; DFT formation energy = 0.0781 eV/atom; space-group type = P-1 (2)
1.0
-3.2397 -5.4254 2.7256
-3.5912 -7.3404 -5.8462
6.5386 1.3342 0.2687
Ho Y Nd Pr
2 4 1 2
Direct
0.8212 0.4473 0.0356
0.1788 0.5527 0.9644
0.6136 0.7600 0.5041
0.2579 0.1159 0.7969
0.3864 0.2400 0.4959
0.7421 0.8841 0.2031
0.0000 0.0000 0.0000
0.2703 0.6556 0.6023
0.7297 0.3444 0.3977